KLi2MnF8 | PBE+U | optimized geometry

Lattice parameters (Å, degrees): 4.6539 4.6716 7.5195 91.60 93.75 90.30
Last column: nearest neighbours and their distance in Å.
Fractional positions:
K 0.0000 0.0000 0.0000  8 F 2.68-2.92
Li 0.4798 0.5074 0.3147  5 F 1.95-2.04
Li 0.5202 0.4926 0.6853  5 F 1.95-2.04
Mn 0.0000 0.0000 0.5000  6 F 1.84-1.85
F 0.1946 0.1772 0.3277  1 Mn 1.84, 1 Li 2.04
F 0.2141 0.1895 0.6839  1 Mn 1.85, 1 Li 2.00
F 0.2687 0.7083 0.5042  1 Mn 1.85, 2 Li 2.00-2.03
F 0.3282 0.5313 0.0672  1 Li 1.95, 1 F 1.97
F 0.6718 0.4687 0.9328  1 Li 1.95, 1 F 1.97
F 0.7313 0.2917 0.4958  1 Mn 1.85, 2 Li 2.00-2.03
F 0.7859 0.8105 0.3161  1 Mn 1.85, 1 Li 2.00
F 0.8054 0.8228 0.6723  1 Mn 1.84, 1 Li 2.04

The total energy comes out at -4.68 eV per atom.